1.
Computed, not measured: a relaxed HoZnPt crystal at the PBE level of DFT.

Cell lengths 4.5652, 4.5652, 4.5652 Å; angles 60.00, 60.00, 60.00 degrees
Fractional positions:
Zn (0.0000, 0.0000, 0.0000)
Ho (0.5000, 0.5000, 0.5000)
Pt (0.2500, 0.2500, 0.2500)

Properties
**Energy**: -14.34 eV per cell
**Space-group type**: No. 216
**Energy of formation from the pure elements**: -2.45 eV per formula unit

---

2.
Computed, not measured: a relaxed CdCu2Mo crystal at the PBE level of DFT.

Cell lengths 2.7311, 4.6923, 4.6923 Å; angles 90.00, 90.00, 90.00 degrees
Fractional positions:
Cu (0.0000, 0.5000, 0.5000)
Cu (0.0000, 0.0000, 0.0000)
Mo (0.5000, 0.5000, 0.0000)
Cd (0.5000, 0.0000, 0.5000)

Properties
**Energy**: -18.48 eV per cell
**Space-group type**: No. 123
**Energy of formation from the pure elements**: 1.46 eV per formula unit

---

3.
Computed, not measured: a relaxed K4Nd3ZrO8 crystal at the PBE level of DFT.

Cell lengths 7.1017, 7.5216, 7.1017 Å; angles 118.18, 120.00, 90.00 degrees
Fractional positions:
O (0.7338, 0.7014, 0.4676)
O (0.2142, 0.6863, 0.4284)
O (0.7580, 0.6863, 0.9722)
O (0.7858, 0.3137, 0.5716)
O (0.2420, 0.3137, 0.0278)
O (0.2662, 0.2986, 0.5324)
O (0.2142, 0.6863, 0.9722)
O (0.7858, 0.3137, 0.0278)
K (0.0000, 0.0000, 0.0000)
K (0.0000, 0.0000, 0.5000)
K (0.5000, 0.0000, 0.5000)
K (0.5000, 0.0000, 0.0000)
Nd (0.5000, 0.5000, 0.0000)
Nd (0.0000, 0.5000, 0.5000)
Nd (0.5000, 0.5000, 0.5000)
Zr (0.0000, 0.5000, 0.0000)

Properties
**Energy relative to the elements, uncorrected**: -2.526 eV/atom
**Energy**: -107.32 eV per cell
**Space-group type**: No. 166

---

| no. | V (A^3/atom) |
| --- | --- |
| 1 | 22.4 |
| 2 | 15.0 |
| 3 | 17.2 |